Material: Tl2SiF
Method: DFT, GGA-PBE
State: relaxed

As for the space group: Fm-3m, No. 225. As for the uncorrected formation energy: -0.3405 eV/atom. The value obtained for the volume is 20.8 A^3/atom. As for the total magnetization: 0.0 Bohr magnetons per cell. As for the energy above the most stable polymorph in this dataset: 0.0 meV per atom. The calculation puts the density at 9.09 g cm⁻³.

Structure (POSCAR):
```
Tl2SiF
1.0
0.000 3.467 3.467
3.467 0.000 3.467
3.467 3.467 0.000
Tl Si F
2 1 1
direct
0.250 0.250 0.250
0.750 0.750 0.750
0.000 0.000 0.000
0.500 0.500 0.500
```